Record 1
First-principles (PBE) data for a relaxed structure of V2Cr6W, as listed in Alexandria.

Unit cell a=7.1529 b=7.1529 c=7.6134 alpha=90.00 beta=90.00 gamma=120.00
Space group R-3 (No. 148, hexagonal axes)
One atom of each set of equivalent atoms:
V 0.0000 0.0000 0.1642
Cr 0.0011 0.6646 0.6129
W 0.0000 0.0000 0.5000

Output
The energy relative to the elements is -0.029 eV/atom. The value obtained for the magnetic moment is 0.000 μB/cell. The volume is 337.3 Å³/cell. Its density of states at the Fermi level is 13.8 states/eV/cell.

---

Record 2
First-principles (PBE) data for a relaxed structure of V6CrW, as listed in Alexandria.

Unit cell a=6.0290 b=8.5415 c=4.2162 alpha=90.00 beta=90.00 gamma=90.00
Space group Cmmm (No. 65)
One atom of each set of equivalent atoms:
V 0.0000 0.2492 0.0000
V 0.2416 0.0000 0.0000
V 0.2500 0.2500 0.5000
Cr 0.0000 0.0000 0.5000
W 0.0000 0.5000 0.5000

Output
The energy relative to the elements is -0.026 eV/atom. The value obtained for the polymorph energy (0 for the lowest one) is 0 meV/atom. The value obtained for the magnetic moment is 0.000 μB/cell. The volume is 217.1 Å³/cell. Its density of states at the Fermi level is 25.6 states/eV/cell.

---

Record 3
First-principles (PBE) data for a relaxed structure of V2CrW4, as listed in Alexandria.

Unit cell a=6.6110 b=6.6110 c=5.2289 alpha=90.00 beta=90.00 gamma=90.00
Space group I4/mmm (No. 139)
One atom of each set of equivalent atoms:
V 0.0000 0.5000 0.2500
Cr 0.0000 0.0000 0.0000
W 0.1931 0.1931 0.5000

Output
The energy relative to the elements is 0.665 eV/atom. The value obtained for the polymorph energy (0 for the lowest one) is 509 meV/atom. The value obtained for the magnetic moment is 4.643 μB/cell. The volume is 228.5 Å³/cell. Its density of states at the Fermi level is 17.9 states/eV/cell.

---

Record 4
First-principles (PBE) data for a relaxed structure of V4CrW5, as listed in Alexandria.

Unit cell a=3.0707 b=3.0707 c=15.3764 alpha=90.00 beta=90.00 gamma=90.00
Space group P4/mmm (No. 123)
One atom of each set of equivalent atoms:
V 0.0000 0.0000 0.1006
V 0.0000 0.0000 0.3014
Cr 0.0000 0.0000 0.5000
W 0.5000 0.5000 0.0000
W 0.5000 0.5000 0.2017
W 0.5000 0.5000 0.4027

Output
The energy relative to the elements is -0.070 eV/atom. The value obtained for the magnetic moment is 0.000 μB/cell. The volume is 145.0 Å³/cell. Its density of states at the Fermi level is 7.5 states/eV/cell.

---

Record 5
First-principles (PBE) data for a relaxed structure of VCrW3, as listed in Alexandria.

Unit cell a=4.4768 b=4.4768 c=4.4768 alpha=90.00 beta=90.00 gamma=90.00
Space group Pm-3m (No. 221)
One atom of each set of equivalent atoms:
V 0.0000 0.0000 0.0000
Cr 0.5000 0.5000 0.5000
W 0.0000 0.5000 0.5000

Output
The energy relative to the elements is 1.543 eV/atom. The value obtained for the polymorph energy (0 for the lowest one) is 1240 meV/atom. The value obtained for the magnetic moment is 1.518 μB/cell. The volume is 89.7 Å³/cell. Its density of states at the Fermi level is 7.2 states/eV/cell.

---

Record 6
First-principles (PBE) data for a relaxed structure of V2CrW6, as listed in Alexandria.

Unit cell a=7.7885 b=7.9099 c=4.4384 alpha=90.00 beta=90.00 gamma=90.00
Space group Pnnm (No. 58)
One atom of each set of equivalent atoms:
V 0.1628 0.2338 0.0000
Cr 0.0000 0.0000 0.5000
W 0.0006 0.6720 0.5000
W 0.1636 0.9054 0.0000
W 0.1700 0.5666 0.0000

Output
The energy relative to the elements is 0.087 eV/atom. The value obtained for the polymorph energy (0 for the lowest one) is 0 meV/atom. The value obtained for the magnetic moment is 0.000 μB/cell. The volume is 273.4 Å³/cell. Its density of states at the Fermi level is 9.9 states/eV/cell.

---

Record 7
First-principles (PBE) data for a relaxed structure of VCrW6, as listed in Alexandria.

Unit cell a=7.0579 b=7.0579 c=8.6320 alpha=90.00 beta=90.00 gamma=120.00
Space group R-3 (No. 148, hexagonal axes)
One atom of each set of equivalent atoms:
V 0.0000 0.0000 0.0000
Cr 0.0000 0.0000 0.5000
W 0.0001 0.2500 0.2500

Output
The energy relative to the elements is 0.070 eV/atom. The value obtained for the polymorph energy (0 for the lowest one) is 89 meV/atom. The value obtained for the magnetic moment is 0.000 μB/cell. The volume is 372.2 Å³/cell. Its density of states at the Fermi level is 14.3 states/eV/cell.

---

Record 8
First-principles (PBE) data for a relaxed structure of V3CrW, as listed in Alexandria.

Unit cell a=3.0028 b=6.0391 c=7.7966 alpha=101.49 beta=100.99 gamma=90.06
Space group P-1 (No. 2)
One atom of each set of equivalent atoms:
V 0.1035 0.0517 0.2067
V 0.3007 0.1547 0.6005
V 0.3006 0.6461 0.6026
Cr 0.1028 0.5515 0.2060
W 0.5004 0.2543 0.9992

Output
The energy relative to the elements is -0.043 eV/atom. The value obtained for the polymorph energy (0 for the lowest one) is 0 meV/atom. The value obtained for the magnetic moment is 0.000 μB/cell. The volume is 135.9 Å³/cell. Its density of states at the Fermi level is 11.8 states/eV/cell.

---

Record 9
First-principles (PBE) data for a relaxed structure of VCrW2, as listed in Alexandria.

Unit cell a=6.1085 b=6.1085 c=6.1085 alpha=90.00 beta=90.00 gamma=90.00
Space group Fm-3m (No. 225)
One atom of each set of equivalent atoms:
V 0.0000 0.0000 0.0000
Cr 0.0000 0.0000 0.5000
W 0.2500 0.2500 0.2500

Output
The energy relative to the elements is -0.039 eV/atom. The value obtained for the polymorph energy (0 for the lowest one) is 12 meV/atom. The value obtained for the magnetic moment is 0.001 μB/cell. The volume is 227.9 Å³/cell. Its density of states at the Fermi level is 12.5 states/eV/cell.

---

Record 10
First-principles (PBE) data for a relaxed structure of V5CrW, as listed in Alexandria.

Unit cell a=4.1595 b=4.1595 c=5.9895 alpha=90.00 beta=90.00 gamma=90.00
Space group P4/mmm (No. 123)
One atom of each set of equivalent atoms:
V 0.0000 0.0000 0.0000
V 0.0000 0.5000 0.2454
Cr 0.5000 0.5000 0.0000
W 0.0000 0.0000 0.5000

Output
The energy relative to the elements is 0.341 eV/atom. The value obtained for the polymorph energy (0 for the lowest one) is 0 meV/atom. The value obtained for the magnetic moment is 0.000 μB/cell. The volume is 103.6 Å³/cell. Its density of states at the Fermi level is 10.2 states/eV/cell.

---

Record 11
First-principles (PBE) data for a relaxed structure of VCr4W, as listed in Alexandria.

Unit cell a=11.7957 b=4.7277 c=6.0406 alpha=90.00 beta=112.22 gamma=90.00
Space group C2/c (No. 15)
One atom of each set of equivalent atoms:
V 0.2500 0.2500 0.0000
Cr 0.0853 0.1102 0.1595
Cr 0.1717 0.3048 0.5882
W 0.0000 0.4104 0.7500

Output
The energy relative to the elements is 0.264 eV/atom. The value obtained for the polymorph energy (0 for the lowest one) is 225 meV/atom. The value obtained for the magnetic moment is 0.000 μB/cell. The volume is 311.8 Å³/cell. Its density of states at the Fermi level is 22.9 states/eV/cell.

---

Record 12
First-principles (PBE) data for a relaxed structure of V2CrW2, as listed in Alexandria.

Unit cell a=9.1448 b=4.2954 c=7.5148 alpha=90.00 beta=106.33 gamma=90.00
Space group C2/m (No. 12)
One atom of each set of equivalent atoms:
V 0.0454 0.0000 0.3471
V 0.1520 0.0000 0.0499
Cr 0.2501 0.0000 0.7509
W 0.0486 0.5000 0.8505
W 0.1544 0.5000 0.5519

Output
The energy relative to the elements is -0.061 eV/atom. The value obtained for the polymorph energy (0 for the lowest one) is 0 meV/atom. The value obtained for the magnetic moment is 0.000 μB/cell. The volume is 283.3 Å³/cell. Its density of states at the Fermi level is 10.8 states/eV/cell.

---

Record 13
First-principles (PBE) data for a relaxed structure of VCr2W6, as listed in Alexandria.

Unit cell a=12.7549 b=2.7790 c=8.9525 alpha=90.00 beta=118.20 gamma=90.00
Space group C2/m (No. 12)
One atom of each set of equivalent atoms:
V 0.0000 0.0000 0.0000
Cr 0.1184 0.5000 0.2490
W 0.0477 0.0000 0.7091
W 0.1658 0.5000 0.5438
W 0.2290 0.0000 0.1134

Output
The energy relative to the elements is 0.549 eV/atom. The value obtained for the magnetic moment is 0.000 μB/cell. The volume is 279.7 Å³/cell. Its density of states at the Fermi level is 20.3 states/eV/cell.

---

Record 14
First-principles (PBE) data for a relaxed structure of V4Cr2W5, as listed in Alexandria.

Unit cell a=19.0682 b=2.5424 c=7.6697 alpha=90.00 beta=109.84 gamma=90.00
Space group C2/m (No. 12)
One atom of each set of equivalent atoms:
V 0.1286 0.0000 0.4608
V 0.1808 0.0000 0.9264
Cr 0.1097 0.5000 0.1296
W 0.0000 0.0000 0.5000
W 0.0136 0.0000 0.8392
W 0.2390 0.5000 0.3137

Output
The energy relative to the elements is 0.693 eV/atom. The value obtained for the polymorph energy (0 for the lowest one) is 583 meV/atom. The value obtained for the magnetic moment is 0.000 μB/cell. The volume is 349.7 Å³/cell. Its density of states at the Fermi level is 21.0 states/eV/cell.

---

Record 15
First-principles (PBE) data for a relaxed structure of V4Cr2W5, as listed in Alexandria.

Unit cell a=2.6505 b=6.7396 c=9.1245 alpha=84.68 beta=89.80 gamma=82.08
Space group P-1 (No. 2)
One atom of each set of equivalent atoms:
V 0.1388 0.0274 0.3675
V 0.2058 0.8700 0.9082
Cr 0.1427 0.3246 0.5482
W 0.0000 0.5000 0.0000
W 0.3918 0.3917 0.2820
W 0.4379 0.2291 0.8163

Output
The energy relative to the elements is 0.110 eV/atom. The value obtained for the polymorph energy (0 for the lowest one) is 0 meV/atom. The value obtained for the magnetic moment is 0.000 μB/cell. The volume is 160.7 Å³/cell. Its density of states at the Fermi level is 10.0 states/eV/cell.

---

Record 16
First-principles (PBE) data for a relaxed structure of VCrW2, as listed in Alexandria.

Unit cell a=6.8534 b=6.8534 c=5.2842 alpha=90.00 beta=90.00 gamma=90.00
Space group I-42d (No. 122)
One atom of each set of equivalent atoms:
V 0.0000 0.0000 0.0000
Cr 0.0000 0.0000 0.5000
W 0.2367 0.2500 0.6250

Output
The energy relative to the elements is 0.843 eV/atom. The value obtained for the polymorph energy (0 for the lowest one) is 894 meV/atom. The value obtained for the magnetic moment is 0.002 μB/cell. The volume is 248.2 Å³/cell. Its density of states at the Fermi level is 18.5 states/eV/cell.

---

Record 17
First-principles (PBE) data for a relaxed structure of VCrW2, as listed in Alexandria.

Unit cell a=4.3248 b=4.3248 c=3.0505 alpha=90.00 beta=90.00 gamma=90.00
Space group P4/mmm (No. 123)
One atom of each set of equivalent atoms:
V 0.0000 0.0000 0.0000
Cr 0.5000 0.5000 0.0000
W 0.0000 0.5000 0.5000

Output
The energy relative to the elements is -0.051 eV/atom. The value obtained for the polymorph energy (0 for the lowest one) is 0 meV/atom. The value obtained for the magnetic moment is 0.000 μB/cell. The volume is 57.1 Å³/cell. Its density of states at the Fermi level is 1.3 states/eV/cell.

---

Record 18
First-principles (PBE) data for a relaxed structure of V4Cr3W, as listed in Alexandria.

Unit cell a=2.9728 b=4.2257 c=8.2952 alpha=90.00 beta=90.00 gamma=90.00
Space group Pmmm (No. 47)
One atom of each set of equivalent atoms:
V 0.0000 0.0000 0.0000
V 0.0000 0.0000 0.5000
V 0.0000 0.5000 0.2380
Cr 0.5000 0.0000 0.2439
Cr 0.5000 0.5000 0.0000
W 0.5000 0.5000 0.5000

Output
The energy relative to the elements is -0.057 eV/atom. The value obtained for the magnetic moment is 0.000 μB/cell. The volume is 104.2 Å³/cell. Its density of states at the Fermi level is 8.5 states/eV/cell.

---

Record 19
First-principles (PBE) data for a relaxed structure of VCrW3, as listed in Alexandria.

Unit cell a=5.2364 b=8.3791 c=7.4080 alpha=90.00 beta=107.11 gamma=90.00
Space group C2/m (No. 12)
One atom of each set of equivalent atoms:
V 0.2301 0.0000 0.0256
Cr 0.0000 0.2568 0.5000
W 0.1287 0.3350 0.2219
W 0.2030 0.0000 0.3848

Output
The energy relative to the elements is 0.484 eV/atom. The value obtained for the polymorph energy (0 for the lowest one) is 181 meV/atom. The value obtained for the magnetic moment is 0.000 μB/cell. The volume is 310.7 Å³/cell. Its density of states at the Fermi level is 17.8 states/eV/cell.

---

Record 20
First-principles (PBE) data for a relaxed structure of YV2Cr, as listed in Alexandria.

Unit cell a=6.5601 b=6.5601 c=6.5601 alpha=90.00 beta=90.00 gamma=90.00
Space group Fm-3m (No. 225)
One atom of each set of equivalent atoms:
Y 0.0000 0.0000 0.0000
V 0.2500 0.2500 0.2500
Cr 0.0000 0.0000 0.5000

Output
The energy relative to the elements is 0.519 eV/atom. The value obtained for the polymorph energy (0 for the lowest one) is 0 meV/atom. The value obtained for the magnetic moment is 11.232 μB/cell. The volume is 282.3 Å³/cell. Its density of states at the Fermi level is 16.6 states/eV/cell.

---

Record 21
First-principles (PBE) data for a relaxed structure of Y3VCr, as listed in Alexandria.

Unit cell a=5.2506 b=5.2506 c=5.2506 alpha=90.00 beta=90.00 gamma=90.00
Space group Pm-3m (No. 221)
One atom of each set of equivalent atoms:
Y 0.0000 0.0000 0.5000
V 0.0000 0.0000 0.0000
Cr 0.5000 0.5000 0.5000

Output
The energy relative to the elements is 0.796 eV/atom. The value obtained for the polymorph energy (0 for the lowest one) is 0 meV/atom. The value obtained for the magnetic moment is 5.239 μB/cell. The volume is 144.8 Å³/cell. Its density of states at the Fermi level is 5.0 states/eV/cell.

---

Record 22
First-principles (PBE) data for a relaxed structure of YV3Cr, as listed in Alexandria.

Unit cell a=4.6858 b=4.6858 c=4.6858 alpha=90.00 beta=90.00 gamma=90.00
Space group Pm-3m (No. 221)
One atom of each set of equivalent atoms:
Y 0.0000 0.0000 0.0000
V 0.0000 0.0000 0.5000
Cr 0.5000 0.5000 0.5000

Output
The energy relative to the elements is 2.114 eV/atom. The value obtained for the polymorph energy (0 for the lowest one) is 1540 meV/atom. The value obtained for the magnetic moment is 1.275 μB/cell. The volume is 102.9 Å³/cell. Its density of states at the Fermi level is 8.5 states/eV/cell.

---

Record 23
First-principles (PBE) data for a relaxed structure of YV2Cr, as listed in Alexandria.

Unit cell a=4.3981 b=4.3981 c=17.2553 alpha=90.00 beta=90.00 gamma=90.00
Space group I4_1/amd (No. 141, origin choice 2)
One atom of each set of equivalent atoms:
Y 0.0000 0.2500 0.3750
V 0.0000 0.0000 0.0000
Cr 0.0000 0.2500 0.8750

Output
The energy relative to the elements is 0.947 eV/atom. The value obtained for the polymorph energy (0 for the lowest one) is 429 meV/atom. The value obtained for the magnetic moment is 3.207 μB/cell. The volume is 333.8 Å³/cell. Its density of states at the Fermi level is 22.2 states/eV/cell.

---

Record 24
First-principles (PBE) data for a relaxed structure of YVCr2, as listed in Alexandria.

Unit cell a=6.5410 b=6.5410 c=6.5410 alpha=90.00 beta=90.00 gamma=90.00
Space group Fm-3m (No. 225)
One atom of each set of equivalent atoms:
Y 0.0000 0.0000 0.0000
V 0.0000 0.0000 0.5000
Cr 0.2500 0.2500 0.2500

Output
The energy relative to the elements is 0.465 eV/atom. The value obtained for the polymorph energy (0 for the lowest one) is 0 meV/atom. The value obtained for the magnetic moment is 14.554 μB/cell. The volume is 279.9 Å³/cell. Its density of states at the Fermi level is 11.9 states/eV/cell.